Entry 1:
{
  "formula": "In2SnBi",
  "functional": "GGA-PBE",
  "state": "optimized geometry",
  "cell": [[-3.588, 5.785, 0.177], [-3.885, -2.562, 4.972], [0.424, 4.054, 7.085]],
  "species": ["In", "In", "In", "In", "Bi", "Bi", "Sn", "Sn"],
  "fractional_positions": [[0.614, 0.125, 0.250], [0.136, 0.625, 0.250], [0.375, 0.386, 0.750], [0.875, 0.864, 0.750], [0.000, 0.000, 0.000], [0.750, 0.250, 0.500], [0.500, 0.500, 0.000], [0.250, 0.750, 0.500]],
  "dos_ef_per_ev_fu": 2.7,
  "rho_g_cm3": 6.04,
  "vol_a3_per_cell": 306.30,
  "polymorph_energy_ev_per_fu": 0.287,
  "spacegroup": "I-42d, No. 122",
  "total_energy_ev_per_cell": -25.86
}



Entry 2:
{
  "formula": "In15Sn4Bi",
  "functional": "GGA-PBE",
  "state": "optimized geometry",
  "cell": [[5.040, 0.000, 0.000], [0.000, 5.040, 0.000], [0.000, 0.000, 21.744]],
  "species": ["In", "In", "In", "In", "In", "In", "In", "In", "In", "In", "In", "In", "In", "In", "In", "Sn", "Sn", "Sn", "Sn", "Bi"],
  "fractional_positions": [[0.500, 0.500, 0.000], [0.500, 0.500, 0.202], [0.500, 0.500, 0.400], [0.500, 0.500, 0.600], [0.500, 0.500, 0.798], [0.500, 0.000, 0.104], [0.500, 0.000, 0.302], [0.500, 0.000, 0.500], [0.500, 0.000, 0.698], [0.500, 0.000, 0.896], [0.000, 0.500, 0.104], [0.000, 0.500, 0.302], [0.000, 0.500, 0.500], [0.000, 0.500, 0.698], [0.000, 0.500, 0.896], [0.000, 0.000, 0.203], [0.000, 0.000, 0.401], [0.000, 0.000, 0.599], [0.000, 0.000, 0.797], [0.000, 0.000, 0.000]],
  "dos_ef_per_ev_fu": 5.6,
  "rho_g_cm3": 7.24,
  "vol_a3_per_cell": 552.23,
  "spacegroup": "P4/mmm, No. 123",
  "total_energy_ev_per_cell": -60.73
}